DFT (PBE+U) results for a relaxed CdMoNO2 crystal.

symmetry = No. 123
electronic total energy = -28.9 eV/cell

abc: 3.9306 3.9306 4.0907
angles: 90.00 90.00 90.00
Positions (direct):
Cd  0.0000  0.0000  0.0000
Mo  0.5000  0.5000  0.5000
N  0.5000  0.5000  0.0000
O  0.0000  0.5000  0.5000
O  0.5000  0.0000  0.5000